# 1
Er4TeSeS2: optimized geometry, GGA-PBE.

a = 5.7159 Å, b = 5.7159 Å, c = 6.9990 Å
α = 114.11°, β = 114.11°, γ = 89.98°
Closest atoms and distances in Å follow each position.
Positions (direct):
Er 0.9383 0.4361 0.0000  2 Se 2.86, 2 S 2.86, 2 Te 2.86
Er 0.6954 0.6954 0.5169  1 Se 2.76, 4 S 2.86, 1 Te 2.95
Er 0.1786 0.1786 0.4831  1 Se 2.76, 4 S 2.86, 1 Te 2.95
Er 0.4361 0.9383 0.0000  2 Se 2.86, 2 S 2.86, 2 Te 2.86
S 0.1871 0.6871 0.5000  6 Er 2.86
S 0.6871 0.1871 0.5000  6 Er 2.86
Te 0.4384 0.4384 0.0000  6 Er 2.86-2.95
Se 0.9364 0.9364 0.0000  6 Er 2.76-2.86

## Properties
Raw formation energy in kcal/mol of atoms: -36.61
E in eV per atom: -5.73
Symmetry: Fmm2

# 2
Er6TlSe3S2: optimized geometry, GGA-PBE.

a = 3.9467 Å, b = 8.2887 Å, c = 9.0764 Å
α = 103.64°, β = 102.56°, γ = 90.00°
Closest atoms and distances in Å follow each position.
Positions (direct):
Tl 0.5000 0.0000 0.0000  6 Er 2.93
Er 0.6718 0.5718 0.3436  3 S 2.73-2.76, 3 Se 2.94-2.96
Er 0.6704 0.1037 0.3409  2 S 2.78, 3 Se 2.83-2.99, 1 Tl 2.93
Er 0.3282 0.4282 0.6564  3 S 2.73-2.76, 3 Se 2.94-2.96
Er 0.3296 0.8963 0.6591  2 S 2.78, 3 Se 2.83-2.99, 1 Tl 2.93
Er 0.0069 0.2646 0.0137  3 Se 2.80-2.96, 1 S 2.80, 2 Tl 2.93
Er 0.9931 0.7354 0.9863  3 Se 2.80-2.96, 1 S 2.80, 2 Tl 2.93
S 0.8302 0.6612 0.6605  6 Er 2.73-2.80
S 0.1698 0.3388 0.3395  6 Er 2.73-2.80
Se 0.8349 0.1695 0.6699  6 Er 2.83-2.99
Se 0.5000 0.5000 0.0000  6 Er 2.80-2.96
Se 0.1651 0.8305 0.3301  6 Er 2.83-2.99

## Properties
Raw formation energy in kcal/mol of atoms: -35.02
E in eV per atom: -5.56
Symmetry: C2/m

# 3
Er8Tl3Se3S: optimized geometry, GGA-PBE.

a = 7.7715 Å, b = 7.7822 Å, c = 8.9171 Å
α = 115.92°, β = 90.00°, γ = 119.95°
Closest atoms and distances in Å follow each position.
Positions (direct):
Tl 0.0000 0.5000 0.0000  6 Er 3.11-3.12
Tl 0.0000 0.0000 0.0000  6 Er 3.11
Tl 0.5000 0.5000 0.0000  6 Er 3.11-3.12
S 0.0000 0.0000 0.5000  6 Er 2.75
Er 0.2343 0.4686 0.7161  1 S 2.75, 2 Se 2.82
Er 0.2596 0.5193 0.2792  3 Se 2.82, 3 Tl 3.11
Er 0.7470 0.9813 0.7160  1 S 2.75, 2 Se 2.82
Er 0.7656 0.0187 0.2840  1 S 2.75, 2 Se 2.82
Er 0.2530 0.0187 0.2840  1 S 2.75, 2 Se 2.82
Er 0.2344 0.9813 0.7160  1 S 2.75, 2 Se 2.82
Er 0.7404 0.4807 0.7208  3 Se 2.82, 3 Tl 3.11
Er 0.7657 0.5314 0.2839  1 S 2.75, 2 Se 2.82
Se 0.0000 0.5000 0.5000  6 Er 2.82
Se 0.5000 0.5000 0.5000  6 Er 2.82
Se 0.5000 0.0000 0.5000  6 Er 2.82

## Properties
Raw formation energy in kcal/mol of atoms: -23.05
E in eV per atom: -4.88
Symmetry: C2/m

# 4
Er2Tm2Se2S3: optimized geometry, GGA-PBE.

a = 5.2689 Å, b = 5.2689 Å, c = 8.1296 Å
α = 108.91°, β = 108.91°, γ = 90.00°
Closest atoms and distances in Å follow each position.
Positions (direct):
S 0.7500 0.2500 0.5000  4 Er 2.73
S 0.0000 0.0000 0.0000  4 Tm 2.63, 2 Er 2.92
S 0.2500 0.7500 0.5000  4 Er 2.73
Er 0.7982 0.7982 0.5964  5 S 2.73-2.92, 1 Se 2.82
Er 0.2018 0.2018 0.4036  5 S 2.73-2.92, 1 Se 2.82
Tm 0.0000 0.5000 0.0000  2 S 2.63
Tm 0.5000 0.0000 0.0000  2 S 2.63
Se 0.6033 0.6033 0.2067  1 Er 2.82, 1 Se 2.99, 4 Tm 3.03
Se 0.3967 0.3967 0.7933  1 Er 2.82, 1 Se 2.99, 4 Tm 3.03

## Properties
Raw formation energy in kcal/mol of atoms: -37.90
E in eV per atom: -5.80
Symmetry: I4/mmm

| no. | magnetization (μB/cell) |
| --- | --- |
| 1 | 0.0 |
| 2 | 0.0 |
| 3 | 0.0 |
| 4 | 0.0 |